Computed, not measured: an optimized crystal structure of K2Au at the PBE level of DFT.

Cell lengths 6.8870, 6.8870, 9.1596 Å; angles 119.87, 119.87, 42.00 degrees
Positions (direct):
1 K 0.0873 0.0873 0.3753
2 K 0.3141 0.3141 0.9104
3 K 0.6859 0.6859 0.0896
4 K 0.9127 0.9127 0.6247
5 Au 0.3821 0.3821 0.3414
6 Au 0.6179 0.6179 0.6586

Theoretical density ... 3.72 g/cm3
Crystal system ... monoclinic
Space-group type ... C2/m
Energy of formation ... -0.23 eV/atom
Total energy ... -2.05 eV per atom